Material: CaTb2ScAs4
Method: DFT, PBE-GGA
State: relaxed

Results
The space group is P2/m, No. 10. The final energy comes out at -0.429 Ry per atom. Its density of states at the Fermi level is 0.47 states/eV per atom. The total magnetization is 0.00 μB per cell.

The structure in POSCAR format:
```
CaTb2ScAs4
1.0
-0.7125 -3.9330 0.8702
4.6276 0.3382 5.3175
-3.3972 1.9375 5.9756
Ca Tb Sc As
1 2 1 4
Direct
0.5000 0.5000 0.0000
0.0000 0.0000 0.0000
0.5000 0.0000 0.5000
0.0000 0.5000 0.5000
0.0000 0.7486 0.7394
0.0000 0.2514 0.2606
0.5000 0.7408 0.2625
0.5000 0.2592 0.7375
```

Material: CaTh2ScAs4
Method: DFT, PBE-GGA
State: relaxed

Results
The space group is P2/m, No. 10. The final energy comes out at -0.483 Ry per atom. Its density of states at the Fermi level is 0.22 states/eV per atom. The total magnetization is 0.00 μB per cell.

The structure in POSCAR format:
```
CaTh2ScAs4
1.0
-3.0697 0.2261 -2.8528
-4.6913 -2.1729 4.8757
-2.8004 5.7588 3.4696
Ca Th Sc As
1 2 1 4
Direct
0.0000 0.5000 0.5000
0.0000 0.0000 0.0000
0.5000 0.0000 0.5000
0.5000 0.5000 0.0000
0.0000 0.7357 0.7621
0.0000 0.2643 0.2379
0.5000 0.7438 0.2442
0.5000 0.2562 0.7558
```

Material: Ca2ThScAs4
Method: DFT, PBE-GGA
State: relaxed

Results
The space group is P2/m, No. 10. The final energy comes out at -0.423 Ry per atom. Its density of states at the Fermi level is 0.75 states/eV per atom. The total magnetization is 0.00 μB per cell.

The structure in POSCAR format:
```
Ca2ThScAs4
1.0
-4.0770 0.3198 -0.9596
-1.6776 -3.5780 5.9356
0.2183 7.1554 1.4570
Ca Th Sc As
2 1 1 4
Direct
0.5000 0.0000 0.5000
0.0000 0.5000 0.5000
0.5000 0.5000 0.0000
0.0000 0.0000 0.0000
0.5000 0.2306 0.2289
0.5000 0.7694 0.7711
0.0000 0.2406 0.7621
0.0000 0.7594 0.2379
```

Material: Ca3Th2ScAs6
Method: DFT, PBE-GGA
State: relaxed

Results
The space group is C2/m, No. 12. The final energy comes out at -0.430 Ry per atom. Its density of states at the Fermi level is 0.69 states/eV per atom. The total magnetization is 0.00 μB per cell.

The structure in POSCAR format:
```
Ca3Th2ScAs6
1.0
-4.1708 -5.4024 2.5643
6.3184 1.6007 3.2671
-3.9797 5.7438 2.1609
Ca Th Sc As
3 2 1 6
Direct
0.1694 0.8306 0.5000
0.8306 0.1694 0.5000
0.5000 0.5000 0.5000
0.3338 0.6662 0.0000
0.6662 0.3338 0.0000
0.0000 0.0000 0.0000
0.9216 0.6003 0.7638
0.7586 0.7586 0.2377
0.0784 0.3997 0.2362
0.6003 0.9216 0.7638
0.2414 0.2414 0.7623
0.3997 0.0784 0.2362
```

Material: CaTm2ScAs4
Method: DFT, PBE-GGA
State: relaxed

Results
The space group is P2/m, No. 10. The final energy comes out at -0.425 Ry per atom. Its density of states at the Fermi level is 0.41 states/eV per atom. The total magnetization is 0.00 μB per cell.

The structure in POSCAR format:
```
CaTm2ScAs4
1.0
-3.4186 -1.5708 1.4694
3.3253 -1.6792 5.9414
-0.5148 5.3769 4.5504
Ca Tm Sc As
1 2 1 4
Direct
0.5000 0.5000 0.0000
0.0000 0.0000 0.0000
0.5000 0.0000 0.5000
0.0000 0.5000 0.5000
0.0000 0.7535 0.7381
0.0000 0.2465 0.2619
0.5000 0.7456 0.2608
0.5000 0.2544 0.7392
```

Material: Ca3Sc2UAs6
Method: DFT, PBE-GGA
State: relaxed

Results
The space group is C2/m, No. 12. The final energy comes out at -0.440 Ry per atom. The total magnetization is 0.00 μB per cell.

The structure in POSCAR format:
```
Ca3Sc2UAs6
1.0
7.0047 0.0004 0.0017
-3.5003 6.0674 0.0017
-1.1672 -2.0210 6.8026
Ca Sc U As
3 2 1 6
Direct
0.1680 0.8320 0.5000
0.8320 0.1680 0.5000
0.5000 0.5000 0.5000
0.3336 0.6664 0.0000
0.6664 0.3336 0.0000
0.0000 0.0000 0.0000
0.9257 0.5956 0.7762
0.7447 0.7447 0.2227
0.0743 0.4044 0.2238
0.5956 0.9257 0.7762
0.2553 0.2553 0.7773
0.4044 0.0743 0.2238
```